[1]
Density functional theory data (PBE) for a relaxed structure of As2OsPb.

```
As2OsPb
1.0
-2.216 2.216 3.915
2.216 -2.216 3.915
2.216 2.216 -3.915
As Os Pb
2 1 1
Cartesian
0.000 0.000 0.000 As
0.000 2.216 1.958 As
2.216 0.000 1.958 Os
0.000 0.000 3.915 Pb
```

Calculated values
Crystal system: tetragonal
VASP energy (Ry/atom): -0.386
Density (g/cm³): 11.819
Formation enthalpy at 0 K (eV per atom): 0.81

=====

[2]
Density functional theory data (PBE) for a relaxed structure of AsOsPb.

```
AsOsPb
1.0
4.135 0.000 0.000
-2.067 3.581 0.000
0.000 0.000 4.686
As Os Pb
1 1 1
Cartesian
0.000 0.000 0.000 As
0.000 2.387 0.006 Os
2.067 1.194 2.341 Pb
```

Calculated values
Crystal system: trigonal
VASP energy (Ry/atom): -0.443
Density (g/cm³): 11.305
Formation enthalpy at 0 K (eV per atom): 0.51
Energy above the most stable polymorph in this dataset (meV/atom): 248

=====

[3]
Density functional theory data (PBE) for a relaxed structure of As2OsPb.

```
As2OsPb
1.0
1.627 0.939 9.145
-1.627 0.939 9.145
0.000 -1.878 9.145
As Os Pb
2 1 1
Cartesian
0.000 0.000 6.300 As
0.000 0.000 21.134 As
0.000 0.000 13.717 Os
0.000 0.000 0.000 Pb
```

Calculated values
Crystal system: trigonal
VASP energy (Ry/atom): -0.432
Density (g/cm³): 10.844
Formation enthalpy at 0 K (eV per atom): 0.19

=====

[4]
Density functional theory data (PBE) for a relaxed structure of AsOs3Pb.

```
AsOs3Pb
1.0
4.621 0.000 0.000
0.000 4.621 0.000
0.000 0.000 4.621
As Os Pb
1 3 1
Cartesian
0.000 0.000 0.000 As
0.000 0.000 2.310 Os
0.000 2.310 0.000 Os
2.310 0.000 0.000 Os
2.310 2.310 2.310 Pb
```

Calculated values
Crystal system: cubic
VASP energy (Ry/atom): -0.505
Density (g/cm³): 14.353
Formation enthalpy at 0 K (eV per atom): 1.54
Energy above the most stable polymorph in this dataset (meV/atom): 0

=====

[5]
Density functional theory data (PBE) for a relaxed structure of AsOs2PdPb.

```
AsOs2PdPb
1.0
4.521 0.000 0.000
0.000 4.521 0.000
0.000 0.000 5.383
As Os Pd Pb
1 2 1 1
Cartesian
0.000 0.000 0.000 As
0.000 2.260 0.000 Os
2.260 0.000 0.000 Os
2.260 2.260 2.691 Pd
0.000 0.000 2.691 Pb
```

Calculated values
Crystal system: tetragonal
VASP energy (Ry/atom): -0.423
Density (g/cm³): 11.609
Formation enthalpy at 0 K (eV per atom): 1.44

=====

[6]
Density functional theory data (PBE) for a relaxed structure of RbAs2OsPb.

```
RbAs2OsPb
1.0
5.589 0.000 0.000
0.000 5.589 0.000
0.000 0.000 5.207
Rb As Os Pb
1 2 1 1
Cartesian
0.000 0.000 0.000 Rb
0.000 2.794 2.604 As
2.794 0.000 2.604 As
2.794 2.794 0.000 Os
2.794 2.794 2.604 Pb
```

Calculated values
Crystal system: tetragonal
VASP energy (Ry/atom): -0.273
Density (g/cm³): 6.460
Formation enthalpy at 0 K (eV per atom): 1.33

=====

[7]
Density functional theory data (PBE) for a relaxed structure of As2OsPbSe.

```
As2OsPbSe
1.0
5.349 0.000 0.000
0.000 5.349 0.000
0.000 0.000 5.268
As Os Pb Se
2 1 1 1
Cartesian
0.000 2.675 0.000 As
2.675 0.000 0.000 As
0.000 0.000 2.634 Os
2.675 2.675 0.000 Pb
2.675 2.675 2.634 Se
```

Calculated values
Crystal system: tetragonal
VASP energy (Ry/atom): -0.257
Density (g/cm³): 6.898
ΔE_f (raw) (eV/atom): 2.054
Energy above the most stable polymorph in this dataset (meV/atom): 1686

=====

[8]
Density functional theory data (PBE) for a relaxed structure of As2OsPbSe.

```
As2OsPbSe
1.0
4.694 0.000 0.000
0.000 4.694 0.000
0.000 0.000 5.633
As Os Pb Se
2 1 1 1
Cartesian
0.000 2.347 0.000 As
2.347 0.000 0.000 As
0.000 0.000 0.000 Os
2.347 2.347 2.816 Pb
0.000 0.000 2.816 Se
```

Calculated values
Crystal system: tetragonal
VASP energy (Ry/atom): -0.380
Density (g/cm³): 8.377
ΔE_f (raw) (eV/atom): 0.368
Energy above the most stable polymorph in this dataset (meV/atom): 0

=====

[9]
Density functional theory data (PBE) for a relaxed structure of SiAsOs2Pb.

```
SiAsOs2Pb
1.0
5.048 0.000 0.000
0.000 5.048 0.000
0.000 0.000 5.177
Si As Os Pb
1 1 2 1
Cartesian
0.000 0.000 0.000 Si
2.524 2.524 0.000 As
0.000 2.524 2.588 Os
2.524 0.000 2.588 Os
2.524 2.524 2.588 Pb
```

Calculated values
Crystal system: tetragonal
VASP energy (Ry/atom): -0.332
Density (g/cm³): 8.694
ΔE_f (raw) (eV/atom): 2.732

=====

[10]
Density functional theory data (PBE) for a relaxed structure of TcAs2OsPb.

```
TcAs2OsPb
1.0
5.238 0.000 0.000
0.000 5.238 0.000
0.000 0.000 5.021
Tc As Os Pb
1 2 1 1
Cartesian
0.000 0.000 0.000 Tc
0.000 2.619 2.510 As
2.619 0.000 2.510 As
2.619 2.619 0.000 Os
2.619 2.619 2.510 Pb
```

Calculated values
Crystal system: tetragonal
VASP energy (Ry/atom): -0.332
Density (g/cm³): 7.780
Formation enthalpy at 0 K (eV per atom): 2.41

=====

[11]
Density functional theory data (PBE) for a relaxed structure of TeAsOs2Pb.

```
TeAsOs2Pb
1.0
4.620 0.000 0.000
0.000 4.620 0.000
0.000 0.000 5.887
Te As Os Pb
1 1 2 1
Cartesian
0.000 0.000 0.000 Te
0.000 0.000 2.944 As
0.000 2.310 2.944 Os
2.310 0.000 2.944 Os
2.310 2.310 0.000 Pb
```

Calculated values
Crystal system: tetragonal
VASP energy (Ry/atom): -0.401
Density (g/cm³): 10.443
ΔE_f (raw) (eV/atom): 1.342

=====

[12]
Density functional theory data (PBE) for a relaxed structure of Zn2AsOsPb.

```
Zn2AsOsPb
1.0
4.989 0.000 0.000
0.000 4.989 0.000
0.000 0.000 5.578
Zn As Os Pb
2 1 1 1
Cartesian
0.000 2.494 0.000 Zn
2.494 0.000 0.000 Zn
0.000 0.000 2.789 As
2.494 2.494 2.789 Os
0.000 0.000 0.000 Pb
```

Calculated values
Crystal system: tetragonal
VASP energy (Ry/atom): -0.189
Density (g/cm³): 7.214
Formation enthalpy at 0 K (eV per atom): 1.86